NaNbSeO GGA-PBE relaxed; space group = P6_3mc, No. 186; crystal system = hexagonal; total DFT energy (no corrections) = -0.2333 hartree per atom
1.0
3.231 0.000 0.000
-1.615 2.798 0.000
0.000 0.000 13.814
Na Nb Se O
2 2 2 2
Direct
0.000 0.000 0.000
0.000 0.000 0.500
0.000 0.000 0.291
0.000 0.000 0.791
0.333 0.667 0.164
0.667 0.333 0.664
0.333 0.667 0.384
0.667 0.333 0.884